Material: Ba2MgPH
Method: DFT, SCAN
State: single point on PBEsol structure

Calculated values
For the total energy, the calculation gives -1.4306 Ry/atom.

extended XYZ file:
```
5
Lattice="-0.091 -2.283 -4.042 5.647 -2.322 1.185 -2.604 -4.893 2.821" Properties=species:S:1:pos:R:3 pbc="T T T"
Mg 0.000 0.000 0.000
Ba -1.302 -2.447 1.411
Ba 2.824 -1.161 0.592
P -0.045 -1.141 -2.021
H 1.476 -4.749 -0.018
```

---

Material: BaY2MgH
Method: DFT, SCAN
State: single point on PBEsol structure

Calculated values
For the total energy, the calculation gives -1.3972 Ry/atom.

extended XYZ file:
```
5
Lattice="-0.752 3.781 4.235 1.047 -4.158 3.898 5.648 1.286 -0.145" Properties=species:S:1:pos:R:3 pbc="T T T"
Mg -0.376 1.890 2.118
Y 2.824 0.643 -0.072
Y 0.523 -2.079 1.949
Ba 0.000 0.000 0.000
H 2.971 0.454 3.994
```

---

Material: BaMn2H
Method: DFT, SCAN
State: single point on PBEsol structure

Calculated values
For the total energy, the calculation gives -1.3815 Ry/atom.

extended XYZ file:
```
4
Lattice="4.932 0.000 0.000 2.466 4.271 0.000 2.466 1.424 4.027" Properties=species:S:1:pos:R:3 pbc="T T T"
Ba 4.932 2.848 2.014
Mn 7.398 4.271 3.020
H 0.000 0.000 0.000
Mn 2.466 1.424 1.007
```

---

Material: Ba2MnHW
Method: DFT, SCAN
State: single point on PBEsol structure

Calculated values
For the total energy, the calculation gives -2.4143 Ry/atom.

extended XYZ file:
```
5
Lattice="3.164 0.000 0.000 0.000 6.061 0.000 0.000 0.000 6.061" Properties=species:S:1:pos:R:3 pbc="T T T"
W 1.582 3.031 3.031
Ba 0.000 0.000 3.031
Mn 0.000 0.000 0.000
H 1.582 0.000 0.000
Ba 0.000 3.031 0.000
```

---

Material: BaMoH3
Method: DFT, SCAN
State: single point on PBEsol structure

Calculated values
For the total energy, the calculation gives -1.1661 Ry/atom.

extended XYZ file:
```
5
Lattice="-1.599 3.028 -3.259 -4.118 -2.318 -0.133 -1.684 2.794 3.421" Properties=species:S:1:pos:R:3 pbc="T T T"
H -2.059 -1.159 -0.067
H -0.799 1.514 -1.630
Ba 0.000 0.000 0.000
Mo -3.700 1.752 0.014
H -0.842 1.397 1.711
```

---

Material: BaMo3H
Method: DFT, SCAN
State: single point on PBEsol structure

Calculated values
For the total energy, the calculation gives -2.0610 Ry/atom.

extended XYZ file:
```
5
Lattice="-3.874 0.247 -1.761 -1.776 -0.744 3.803 -0.087 4.190 0.779" Properties=species:S:1:pos:R:3 pbc="T T T"
Mo -0.888 -0.372 1.902
Mo -0.043 2.095 0.389
Ba -2.869 1.847 1.411
Mo -1.937 0.123 -0.880
H 0.000 0.000 0.000
```

---

Material: BaP6H16N4O18
Method: DFT, SCAN
State: single point on PBEsol structure

Calculated values
For the total energy, the calculation gives -0.6210 Ry/atom.

extended XYZ file:
```
90
Lattice="-7.041 3.600 -4.256 -6.235 -8.763 2.903 0.528 8.912 6.663" Properties=species:S:1:pos:R:3 pbc="T T T"
O -6.442 -4.674 2.451
P -5.038 9.010 1.603
O -6.430 -1.977 0.434
H -10.120 0.267 0.445
N -13.083 -3.015 0.221
N -7.810 1.954 5.174
H -11.091 2.989 3.788
O -7.161 7.115 -0.142
O -10.527 1.507 4.806
H -5.356 -0.895 -0.666
H -8.103 9.387 3.100
N -3.532 3.943 4.318
H -4.365 4.002 -0.068
H -4.345 4.359 3.827
H -12.227 -3.601 0.094
N -8.524 1.514 -3.492
O -4.826 1.715 1.340
N -9.307 -0.149 0.936
O -6.636 4.488 6.680
H -8.528 0.539 0.952
O -10.468 -4.233 -0.146
O -7.225 1.960 0.887
H -4.899 0.864 7.602
O -5.871 5.907 4.733
P -6.211 1.886 2.167
O -3.789 -0.611 1.498
O -4.264 5.661 1.866
O -6.452 -0.906 5.654
H -2.332 -1.687 1.233
H -2.685 4.511 4.120
O -5.713 8.232 2.686
H -3.717 3.935 5.341
O -2.739 7.470 2.755
P -9.207 5.340 5.396
H -5.298 0.650 -1.393
N -4.442 8.568 5.197
H -7.855 2.934 4.802
H -4.857 8.207 4.303
Ba -6.971 5.701 2.239
H -7.318 1.348 4.477
H -7.282 1.942 6.076
O -3.309 1.194 3.235
H -6.895 6.084 -1.692
Ba -5.705 -1.990 3.114
O -6.164 3.177 2.908
O -10.298 -0.774 3.658
O -6.044 2.222 7.469
O -12.321 0.632 3.348
O -1.637 7.845 4.935
O -8.445 3.257 -0.843
P -9.536 -2.051 4.338
O -6.586 0.634 2.900
H -3.403 8.461 5.172
H -9.581 -0.390 1.909
H -8.809 1.645 5.257
H -6.002 -5.784 3.837
P -2.948 4.166 8.171
P -6.933 2.889 -0.440
O -8.799 7.643 3.013
O -4.250 4.032 7.192
O -8.436 -2.410 3.386
O -10.760 -2.492 -1.875
O -6.190 4.113 -0.008
P -2.672 0.135 4.306
O -3.586 -3.568 2.413
P -3.504 0.850 1.638
H -7.672 1.735 -2.928
O -5.348 -3.726 5.194
N -3.404 3.894 -0.474
O -8.601 -2.550 -0.650
H -2.981 2.996 -0.149
O -9.292 4.564 1.225
H -3.388 2.971 3.981
H -10.518 3.986 2.528
P -6.284 -5.249 1.080
H -4.945 -0.461 6.591
O -3.566 -1.035 4.523
P -7.590 -1.437 6.465
H -0.703 1.658 1.333
O -8.578 4.539 4.301
H -0.951 7.240 6.464
H -9.770 -4.809 1.389
H -9.006 -1.007 0.435
N -11.373 3.642 3.022
O -1.241 5.685 3.613
O -2.412 1.505 0.854
H -9.043 -4.071 2.748
P -7.011 -2.921 -0.575
P 0.186 4.889 3.598
O -6.423 2.023 -1.546
```

---

Material: BaTe2HN
Method: DFT, SCAN
State: single point on PBEsol structure

Calculated values
For the total energy, the calculation gives -1.8470 Ry/atom.

extended XYZ file:
```
5
Lattice="-1.901 -3.052 -2.436 0.444 -2.861 3.237 -5.361 1.614 2.162" Properties=species:S:1:pos:R:3 pbc="T T T"
H 0.000 0.000 0.000
Te -0.951 -1.526 -1.218
N -2.680 0.807 1.081
Te 0.222 -1.430 1.619
Ba -3.409 -2.149 1.482
```

---

Material: Ba3NaH
Method: DFT, SCAN
State: single point on PBEsol structure

Calculated values
For the total energy, the calculation gives -1.8654 Ry/atom.

extended XYZ file:
```
5
Lattice="5.875 0.000 0.000 0.000 5.875 0.000 0.000 0.000 5.875" Properties=species:S:1:pos:R:3 pbc="T T T"
Ba 0.000 2.938 0.000
Ba 0.000 0.000 2.938
H 0.000 0.000 0.000
Ba 2.938 0.000 0.000
Na 2.938 2.938 2.938
```

---

Material: Ba2NaH2
Method: DFT, SCAN
State: single point on PBEsol structure

Calculated values
The value obtained for the energy above the most stable polymorph in this dataset is 6.41 kcal/mol of atoms. For the total energy, the calculation gives -1.3331 Ry/atom.

extended XYZ file:
```
10
Lattice="-2.831 1.735 -2.019 -5.068 -1.271 6.013 2.025 7.013 3.189" Properties=species:S:1:pos:R:3 pbc="T T T"
Ba -4.966 2.150 5.071
Ba -2.773 1.607 1.528
H -3.102 3.349 7.228
Ba -0.908 5.327 2.112
Ba -3.101 5.871 5.655
H -2.943 0.136 4.243
Na -1.522 2.871 4.601
H 0.059 2.393 1.974
Na 0.000 0.000 0.000
H -0.100 5.606 4.959
```

---

> Which formula does entry 10 have?

Ba2NaH2